First-principles (GGA+U) data for a relaxed GaMoF2 crystal, as listed in the Alexandria database.

The space group is I-42d (No. 122) and the conventional cell measures 4.4329, 4.4329 and 14.7471 Å, with angles of 90.00, 90.00 and 90.00 degrees. The asymmetric unit holds Ga at (0.0000, 0.0000, 0.0000), Mo at (0.0000, 0.0000, 0.5000) and F at (0.2248, 0.2500, 0.6250).

The value obtained for the total energy is -4.406 eV per atom. The distance to the lowest polymorph of the same formula is 0.63 eV per formula unit. For the mass density, the calculation gives 4.67 Mg/m³. The size of the total moment is 1.241 μB/atom.